First-principles (GGA-PBE) data for crystalline NdGa4Cu3 at its relaxed geometry, as listed in Alexandria.

Results
As for the formation energy: -2.44 eV/f.u. As for the symmetry: P4/mmm (123). The calculation puts the density of states at the Fermi level at 2.22 states/eV per cell. The total magnetization is 0.0000 μB per atom.

Geometry as POSCAR:
```
NdGa4Cu3
1.0
4.1407 0.0000 0.0000
0.0000 4.1407 0.0000
0.0000 0.0000 8.1425
Cu Ga Nd
3 4 1
Direct
0.5000 0.5000 0.3518
0.5000 0.5000 0.6482
0.0000 0.0000 0.0000
0.5000 0.0000 0.8238
0.5000 0.0000 0.1762
0.0000 0.5000 0.8238
0.0000 0.5000 0.1762
0.0000 0.0000 0.5000
```